1.
PrNd5Ho2Th after structural relaxation. Source: Alexandria via LeMat-Bulk, functional PBE-GGA.

The density comes out at 7.57 Mg/m³. The calculation puts the density of states at the Fermi level at 26.223 states/eV/cell. The formation energy is 3.728 kcal/mol of atoms. The symmetry is No. 36.

a = 10.6736 Å, b = 10.6736 Å, c = 10.5952 Å
α = 90.00°, β = 90.00°, γ = 148.81°
Atoms (fractional coordinates):
Pr1 0.0893 0.9107 0.5000
Pr2 0.9107 0.0893 0.0000
Nd1 0.0227 0.9773 0.2061
Nd2 0.1126 0.8874 0.9201
Nd3 0.2069 0.7931 0.2428
Nd4 0.2234 0.7766 0.6327
Nd5 0.4845 0.5155 0.9250
Nd6 0.5155 0.4845 0.4250
Nd7 0.7766 0.2234 0.1326
Nd8 0.7931 0.2069 0.7428
Nd9 0.8874 0.1126 0.4201
Nd10 0.9773 0.0227 0.7061
Ho1 0.3837 0.6163 0.6283
Ho2 0.3862 0.6138 0.2129
Ho3 0.6138 0.3862 0.7129
Ho4 0.6163 0.3837 0.1283
Th1 0.3011 0.6989 0.9340
Th2 0.6989 0.3011 0.4340



2.
PrNd2Ho4Th after structural relaxation. Source: Alexandria via LeMat-Bulk, functional PBE-GGA.

The density comes out at 8.36 Mg/m³. The calculation puts the density of states at the Fermi level at 10.538 states/eV/cell. The formation energy is 0.656 kcal/mol of atoms. The symmetry is No. 10.

a = 5.1187 Å, b = 5.1334 Å, c = 9.9857 Å
α = 90.00°, β = 90.04°, γ = 90.00°
Atoms (fractional coordinates):
Pr1 0.0000 0.0000 0.0000
Nd1 0.0000 0.0000 0.5000
Nd2 0.5000 0.5000 0.0000
Ho1 0.0000 0.5000 0.2556
Ho2 0.0000 0.5000 0.7444
Ho3 0.4996 0.0000 0.2558
Ho4 0.5004 0.0000 0.7442
Th1 0.5000 0.5000 0.5000



3.
Pr3NdHo6Th2 after structural relaxation. Source: Alexandria via LeMat-Bulk, functional PBE-GGA.

The density comes out at 8.56 Mg/m³. The calculation puts the density of states at the Fermi level at 15.745 states/eV/cell. The formation energy is 0.560 kcal/mol of atoms. The symmetry is No. 12.

a = 6.2482 Å, b = 6.2482 Å, c = 11.7765 Å
α = 95.09°, β = 95.09°, γ = 119.98°
Atoms (fractional coordinates):
Pr1 0.0000 0.0000 0.0000
Pr2 0.3338 0.6662 0.0000
Pr3 0.6662 0.3338 0.0000
Nd1 0.5000 0.5000 0.5000
Ho1 0.0798 0.4182 0.2553
Ho2 0.2434 0.2434 0.7449
Ho3 0.4182 0.0798 0.2553
Ho4 0.5818 0.9202 0.7447
Ho5 0.7566 0.7566 0.2551
Ho6 0.9202 0.5818 0.7447
Th1 0.1666 0.8334 0.5000
Th2 0.8334 0.1666 0.5000



4.
Pr2Nd4HoTh after structural relaxation. Source: Alexandria via LeMat-Bulk, functional PBE-GGA.

The density comes out at 7.57 Mg/m³. The calculation puts the density of states at the Fermi level at 15.859 states/eV/cell. The formation energy is 3.047 kcal/mol of atoms. The symmetry is No. 10.

a = 6.1175 Å, b = 6.1310 Å, c = 7.3461 Å
α = 90.00°, β = 90.14°, γ = 90.00°
Atoms (fractional coordinates):
Pr1 0.0000 0.0000 0.0000
Pr2 0.5000 0.5000 0.5000
Nd1 0.9999 0.5000 0.2454
Nd2 0.0001 0.5000 0.7546
Nd3 0.5001 0.0000 0.2450
Nd4 0.4999 0.0000 0.7550
Ho1 0.0000 0.0000 0.5000
Th1 0.5000 0.5000 0.0000



5.
PrNd6Ho2Th after structural relaxation. Source: Alexandria via LeMat-Bulk, functional PBE-GGA.

The density comes out at 7.53 Mg/m³. The calculation puts the density of states at the Fermi level at 29.066 states/eV/cell. The formation energy is 3.235 kcal/mol of atoms. The symmetry is No. 15.

a = 8.8970 Å, b = 8.8970 Å, c = 9.8337 Å
α = 94.28°, β = 94.28°, γ = 116.11°
Atoms (fractional coordinates):
Pr1 0.0960 0.9040 0.7500
Pr2 0.9040 0.0960 0.2500
Nd1 0.0118 0.7987 0.3806
Nd2 0.0775 0.5168 0.1845
Nd3 0.2013 0.9882 0.1194
Nd4 0.2597 0.6065 0.5584
Nd5 0.3935 0.7403 0.9416
Nd6 0.4832 0.9225 0.3155
Nd7 0.5168 0.0775 0.6845
Nd8 0.6065 0.2597 0.0584
Nd9 0.7403 0.3935 0.4416
Nd10 0.7987 0.0118 0.8806
Nd11 0.9225 0.4832 0.8155
Nd12 0.9882 0.2013 0.6194
Ho1 0.2136 0.3037 0.9490
Ho2 0.3037 0.2136 0.4490
Ho3 0.6963 0.7864 0.5510
Ho4 0.7864 0.6963 0.0510
Th1 0.4692 0.5308 0.2500
Th2 0.5308 0.4692 0.7500



6.
PrNd2HoTl4 after structural relaxation. Source: Alexandria via LeMat-Bulk, functional PBE-GGA.

The density comes out at 10.00 Mg/m³. The calculation puts the density of states at the Fermi level at 6.672 states/eV/cell. The formation energy is -8.518 kcal/mol of atoms. The symmetry is No. 166.

a = 9.5334 Å, b = 9.5334 Å, c = 9.5334 Å
α = 33.45°, β = 33.45°, γ = 33.45°
Atoms (fractional coordinates):
Pr1 0.0000 0.0000 0.0000
Nd1 0.2490 0.2490 0.2490
Nd2 0.7510 0.7510 0.7510
Ho1 0.5000 0.5000 0.5000
Tl1 0.1265 0.1265 0.1265
Tl2 0.3767 0.3767 0.3767
Tl3 0.6233 0.6233 0.6233
Tl4 0.8735 0.8735 0.8735



7.
Pr2Nd6Ho3Tl after structural relaxation. Source: Alexandria via LeMat-Bulk, functional PBE-GGA.

The density comes out at 7.73 Mg/m³. The calculation puts the density of states at the Fermi level at 13.847 states/eV/cell. The formation energy is -0.670 kcal/mol of atoms. The symmetry is No. 12.

a = 6.2400 Å, b = 6.2400 Å, c = 11.9646 Å
α = 95.00°, β = 95.00°, γ = 120.10°
Atoms (fractional coordinates):
Pr1 0.1663 0.8337 0.0000
Pr2 0.8337 0.1663 0.0000
Nd1 0.0898 0.4160 0.7474
Nd2 0.2581 0.2581 0.2534
Nd3 0.4160 0.0898 0.7474
Nd4 0.5840 0.9102 0.2526
Nd5 0.7419 0.7419 0.7466
Nd6 0.9102 0.5840 0.2526
Ho1 0.0000 0.0000 0.5000
Ho2 0.3329 0.6671 0.5000
Ho3 0.6671 0.3329 0.5000
Tl1 0.5000 0.5000 0.0000



8.
Pr6Nd3Ho2Tl after structural relaxation. Source: Alexandria via LeMat-Bulk, functional PBE-GGA.

The density comes out at 7.38 Mg/m³. The calculation puts the density of states at the Fermi level at 15.784 states/eV/cell. The formation energy is -0.128 kcal/mol of atoms. The symmetry is No. 12.

a = 6.3355 Å, b = 6.3355 Å, c = 11.9613 Å
α = 95.22°, β = 95.22°, γ = 120.30°
Atoms (fractional coordinates):
Pr1 0.0793 0.4062 0.2426
Pr2 0.2464 0.2464 0.7545
Pr3 0.4062 0.0793 0.2426
Pr4 0.5938 0.9207 0.7574
Pr5 0.7536 0.7536 0.2455
Pr6 0.9207 0.5938 0.7574
Nd1 0.1693 0.8307 0.5000
Nd2 0.5000 0.5000 0.5000
Nd3 0.8307 0.1693 0.5000
Ho1 0.3345 0.6655 0.0000
Ho2 0.6655 0.3345 0.0000
Tl1 0.0000 0.0000 0.0000



9.
Pr3Nd6Ho2Tl after structural relaxation. Source: Alexandria via LeMat-Bulk, functional PBE-GGA.

The density comes out at 7.48 Mg/m³. The calculation puts the density of states at the Fermi level at 15.761 states/eV/cell. The formation energy is -0.146 kcal/mol of atoms. The symmetry is No. 12.

a = 6.3199 Å, b = 6.3199 Å, c = 11.9279 Å
α = 95.21°, β = 95.21°, γ = 120.29°
Atoms (fractional coordinates):
Pr1 0.0000 0.0000 0.0000
Pr2 0.3307 0.6693 0.0000
Pr3 0.6693 0.3307 0.0000
Nd1 0.0948 0.4213 0.2584
Nd2 0.2531 0.2531 0.7445
Nd3 0.4213 0.0948 0.2584
Nd4 0.5787 0.9052 0.7416
Nd5 0.7469 0.7469 0.2555
Nd6 0.9052 0.5787 0.7416
Ho1 0.1654 0.8346 0.5000
Ho2 0.8346 0.1654 0.5000
Tl1 0.5000 0.5000 0.5000



10.
PrNd2HoTl2 after structural relaxation. Source: Alexandria via LeMat-Bulk, functional PBE-GGA.

The density comes out at 8.91 Mg/m³. The calculation puts the density of states at the Fermi level at 13.593 states/eV/cell. The formation energy is -6.197 kcal/mol of atoms. The symmetry is No. 26.

a = 5.2231 Å, b = 10.2626 Å, c = 6.9717 Å
α = 90.00°, β = 90.00°, γ = 90.00°
Atoms (fractional coordinates):
Pr1 0.0000 0.0447 0.0000
Pr2 0.0000 0.9553 0.5000
Nd1 0.0000 0.3176 0.3742
Nd2 0.0000 0.6824 0.8742
Nd3 0.5000 0.4532 0.0973
Nd4 0.5000 0.5468 0.5973
Ho1 0.5000 0.1890 0.7187
Ho2 0.5000 0.8110 0.2187
Tl1 0.0000 0.3584 0.8380
Tl2 0.0000 0.6416 0.3380
Tl3 0.5000 0.1281 0.2646
Tl4 0.5000 0.8719 0.7646



11.
Pr6Nd2Ho3Tl after structural relaxation. Source: Alexandria via LeMat-Bulk, functional PBE-GGA.

The density comes out at 7.59 Mg/m³. The calculation puts the density of states at the Fermi level at 13.923 states/eV/cell. The formation energy is -0.571 kcal/mol of atoms. The symmetry is No. 12.

a = 6.2683 Å, b = 6.2683 Å, c = 11.9856 Å
α = 95.01°, β = 95.01°, γ = 120.12°
Atoms (fractional coordinates):
Pr1 0.0839 0.4104 0.7520
Pr2 0.2423 0.2423 0.2472
Pr3 0.4104 0.0839 0.7520
Pr4 0.5896 0.9161 0.2480
Pr5 0.7577 0.7577 0.7528
Pr6 0.9161 0.5896 0.2480
Nd1 0.3336 0.6664 0.5000
Nd2 0.6664 0.3336 0.5000
Ho1 0.1671 0.8329 0.0000
Ho2 0.5000 0.5000 0.0000
Ho3 0.8329 0.1671 0.0000
Tl1 0.0000 0.0000 0.5000



12.
Pr2NdHoTl2 after structural relaxation. Source: Alexandria via LeMat-Bulk, functional PBE-GGA.

The density comes out at 8.84 Mg/m³. The calculation puts the density of states at the Fermi level at 13.543 states/eV/cell. The formation energy is -6.215 kcal/mol of atoms. The symmetry is No. 26.

a = 5.2207 Å, b = 10.2854 Å, c = 6.9942 Å
α = 90.00°, β = 90.00°, γ = 90.00°
Atoms (fractional coordinates):
Pr1 0.0000 0.0472 0.0000
Pr2 0.0000 0.9528 0.5000
Pr3 0.5000 0.1832 0.2737
Pr4 0.5000 0.8168 0.7737
Nd1 0.5000 0.4553 0.9016
Nd2 0.5000 0.5447 0.4016
Ho1 0.0000 0.3125 0.6184
Ho2 0.0000 0.6875 0.1184
Tl1 0.0000 0.3751 0.1644
Tl2 0.0000 0.6249 0.6644
Tl3 0.5000 0.1445 0.7387
Tl4 0.5000 0.8555 0.2387



We obtain volume values of 34.7 32.8 32.7 34.4 34.6 29.3 33.1 34.0 33.7 31.1 33.4 31.3 A^3/atom for the records listed above, in that order.